# 1
A plane-wave DFT calculation with PBE was carried out for a relaxed structure of Y2ZrSb.

Calculated values
The value obtained for the uncorrected formation energy is -0.386 eV per atom. The calculation puts the theoretical density at 6.31 g/cm³. The crystal system is tetragonal.

Geometry as extended XYZ:
```
4
Lattice="4.7353 0.0000 0.0000 0.0000 4.7353 0.0000 0.0000 0.0000 4.5843" Properties=species:S:1:pos:R:3 pbc="T T T"
Y 0.0000 2.3676 0.0000
Y 2.3676 0.0000 0.0000
Zr 0.0000 0.0000 2.2922
Sb 2.3676 2.3676 2.2922
```



# 2
A plane-wave DFT calculation with PBE was carried out for a relaxed structure of YZrSb.

Calculated values
The value obtained for the uncorrected formation energy is -0.569 eV per atom. The calculation puts the theoretical density at 6.61 g/cm³. The crystal system is tetragonal.

Geometry as extended XYZ:
```
3
Lattice="-1.9079 1.9079 5.2098 1.9079 -1.9079 5.2098 1.9079 1.9079 -5.2098" Properties=species:S:1:pos:R:3 pbc="T T T"
Y 0.0000 0.0000 0.0000
Zr 0.0000 0.0000 3.2836
Sb 0.0000 0.0000 7.0698
```



# 3
A plane-wave DFT calculation with PBE was carried out for a relaxed structure of Y2ZrSb.

Calculated values
The value obtained for the uncorrected formation energy is -0.211 eV per atom. The calculation puts the theoretical density at 5.41 g/cm³. The crystal system is trigonal.

Geometry as extended XYZ:
```
4
Lattice="1.9099 1.1027 9.4977 -1.9099 1.1027 9.4977 0.0000 -2.2054 9.4977" Properties=species:S:1:pos:R:3 pbc="T T T"
Y 0.0000 0.0000 0.0000
Y 0.0000 0.0000 6.4640
Zr 0.0000 0.0000 21.5528
Sb 0.0000 0.0000 13.8819
```



# 4
A plane-wave DFT calculation with PBE was carried out for a relaxed structure of YZr2Sb.

Calculated values
The value obtained for the uncorrected formation energy is -0.198 eV per atom. The calculation puts the theoretical density at 6.72 g/cm³. The crystal system is orthorhombic.

Geometry as extended XYZ:
```
4
Lattice="3.1976 -4.4815 0.0000 3.1976 4.4815 0.0000 0.0000 0.0000 3.3906" Properties=species:S:1:pos:R:3 pbc="T T T"
Y 0.0000 0.0000 0.0000
Zr 1.5988 2.2407 1.6953
Zr 1.5988 -2.2407 1.6953
Sb 3.1976 0.0000 0.0000
```



# 5
A plane-wave DFT calculation with PBE was carried out for a relaxed structure of YZrSb.

Calculated values
The value obtained for the uncorrected formation energy is -0.272 eV per atom. The calculation puts the theoretical density at 6.26 g/cm³. The crystal system is trigonal.

Geometry as extended XYZ:
```
3
Lattice="4.9467 0.0000 0.0000 -2.4734 4.2840 0.0000 0.0000 0.0000 3.7776" Properties=species:S:1:pos:R:3 pbc="T T T"
Y 0.0000 0.0000 0.0000
Zr 2.4734 1.4280 1.8593
Sb 0.0000 2.8560 2.1719
```



# 6
A plane-wave DFT calculation with PBE was carried out for a relaxed structure of Y2ZrSb.

Calculated values
The value obtained for the uncorrected formation energy is -0.226 eV per atom. The calculation puts the theoretical density at 5.85 g/cm³. The crystal system is trigonal.

Geometry as extended XYZ:
```
4
Lattice="1.7724 1.0233 10.1972 -1.7724 1.0233 10.1972 0.0000 -2.0465 10.1972" Properties=species:S:1:pos:R:3 pbc="T T T"
Y 0.0000 0.0000 7.5613
Y 0.0000 0.0000 23.0304
Zr 0.0000 0.0000 0.0000
Sb 0.0000 0.0000 15.2958
```